# RuW2

A PBEsol-optimized structure of RuW2 (meta-GGA SCAN, Alexandria).

Geometry as POSCAR:
```
RuW2
1.0
9.544 0.000 0.000
0.000 9.544 0.000
0.000 0.000 4.943
Ru W
10 20
Cartesian
0.000 0.000 0.000
0.667 2.511 0.000
2.261 5.439 2.471
2.511 0.667 0.000
4.105 7.283 2.471
4.772 4.772 2.471
5.439 2.261 2.471
7.033 8.876 0.000
7.283 4.105 2.471
8.876 7.033 0.000
0.364 3.532 2.471
0.992 0.992 2.471
1.239 5.136 0.000
1.710 7.833 1.238
1.710 7.833 3.705
3.061 3.061 1.234
3.061 3.061 3.709
3.532 0.364 2.471
3.779 5.764 0.000
4.408 8.304 0.000
5.136 1.239 0.000
5.764 3.779 0.000
6.011 9.180 2.471
6.482 6.482 1.234
6.482 6.482 3.709
7.833 1.710 1.238
7.833 1.710 3.705
8.304 4.408 0.000
8.551 8.551 2.471
9.180 6.011 2.471
```

Computed properties:
DOS at the Fermi energy ... 2.09 states/eV/f.u.
Energy of formation from the pure elements ... 31 meV per atom
E_tot ... -58.04 eV/atom

***

# RuW

A PBEsol-optimized structure of RuW (meta-GGA SCAN, Alexandria).

Geometry as POSCAR:
```
RuW
1.0
2.770 0.000 0.000
0.000 2.770 0.000
0.000 0.000 3.789
Ru W
1 1
Cartesian
0.000 0.000 0.000
1.385 1.385 1.894
```

Computed properties:
DOS at the Fermi energy ... 1.95 states/eV/f.u.
Energy of formation from the pure elements ... 72 meV per atom
E_tot ... -52.19 eV/atom

***

# RuW8

A PBEsol-optimized structure of RuW8 (meta-GGA SCAN, Alexandria).

Geometry as POSCAR:
```
RuW8
1.0
-4.711 4.711 1.569
4.711 -4.711 1.569
4.711 4.711 -1.569
Ru W
1 8
Cartesian
0.000 0.000 0.000
3.122 0.000 0.000
6.301 0.000 0.000
0.000 3.122 0.000
3.133 3.133 0.000
1.579 -1.579 1.569
-1.579 1.579 1.569
1.579 1.579 1.569
0.000 6.301 0.000
```

Computed properties:
DOS at the Fermi energy ... 6.06 states/eV/f.u.
Energy of formation from the pure elements ... 85 meV per atom
E_tot ... -65.73 eV/atom

***

# Ru7W

A PBEsol-optimized structure of Ru7W (meta-GGA SCAN, Alexandria).

Geometry as POSCAR:
```
Ru7W
1.0
0.000 3.792 3.792
3.792 0.000 3.792
3.792 3.792 0.000
Ru W
7 1
Cartesian
0.000 0.000 0.000
1.896 1.896 0.000
1.896 0.000 1.896
3.792 1.896 1.896
0.000 1.896 1.896
1.896 3.792 1.896
1.896 1.896 3.792
3.792 3.792 3.792
```

Computed properties:
DOS at the Fermi energy ... 8.52 states/eV/f.u.
Energy of formation from the pure elements ... 81 meV per atom
E_tot ... -39.10 eV/atom

***

# Ru3W

A PBEsol-optimized structure of Ru3W (meta-GGA SCAN, Alexandria).

Geometry as POSCAR:
```
Ru3W
1.0
-1.365 4.316 2.355
1.365 -4.316 2.355
1.365 4.316 -2.355
Ru W
3 1
Cartesian
0.000 0.000 0.000
1.365 2.148 -0.780
0.000 2.168 1.575
0.000 4.316 0.021
```

Computed properties:
DOS at the Fermi energy ... 2.99 states/eV/f.u.
Energy of formation from the pure elements ... -19 meV per atom
E_tot ... -43.56 eV/atom

***

# RuW

A PBEsol-optimized structure of RuW (meta-GGA SCAN, Alexandria).

Geometry as POSCAR:
```
RuW
1.0
1.374 -4.987 0.000
1.374 4.987 0.000
0.000 0.000 4.279
Ru W
2 2
Cartesian
1.374 4.312 3.209
1.374 -4.312 1.070
1.374 1.720 3.209
1.374 -1.720 1.070
```

Computed properties:
DOS at the Fermi energy ... 1.87 states/eV/f.u.
Energy of formation from the pure elements ... 221 meV per atom
E_tot ... -52.04 eV/atom